Below is a crystal of CsBaNa2H relaxed with PBEsol, with properties calculated at the SCAN level.

Cell: 7.664 7.664 4.811 Å, 90.00 90.00 90.00°
Space group P4/mmm (No. 123)
Inequivalent atoms, fractional coordinates:
Cs 0.000 0.000 0.000 (multiplicity 1)
Ba 0.500 0.500 0.500 (multiplicity 1)
Na 0.000 0.500 0.500 (multiplicity 2)
H 0.500 0.500 0.000 (multiplicity 1)

Summary:
* E: -88.71 eV for the cell shown

***

Below is a crystal of CsBaSiHO4 relaxed with PBEsol, with properties calculated at the SCAN level.

Cell: 5.999 8.161 6.037 Å, 90.00 117.65 90.00°
Space group P2_1 (No. 4)
Inequivalent atoms, fractional coordinates:
Cs 0.218 0.000 0.352 (multiplicity 2)
Ba 0.492 0.240 0.991 (multiplicity 2)
Si 0.120 0.480 0.323 (multiplicity 2)
H 0.035 0.722 0.485 (multiplicity 2)
O 0.184 0.984 0.860 (multiplicity 2)
O 0.188 0.655 0.501 (multiplicity 2)
O 0.195 0.331 0.529 (multiplicity 2)
O 0.283 0.481 0.168 (multiplicity 2)

Summary:
* E: -272.06 eV for the cell shown

***

Below is a crystal of CsBaHfIr2 relaxed with PBEsol, with properties calculated at the SCAN level.

Cell: 5.058 5.058 5.665 Å, 90.00 90.00 90.00°
Space group P4/mmm (No. 123)
Inequivalent atoms, fractional coordinates:
Cs 0.000 0.000 0.000 (multiplicity 1)
Ba 0.000 0.000 0.500 (multiplicity 1)
Hf 0.500 0.500 0.500 (multiplicity 1)
Ir 0.000 0.500 0.000 (multiplicity 2)

Summary:
* ΔE_f: 2.44 eV/atom
* E: -270.04 eV for the cell shown

***

Below is a crystal of CsBaHfPb2 relaxed with PBEsol, with properties calculated at the SCAN level.

Cell: 5.682 5.682 5.885 Å, 90.00 90.00 90.00°
Space group P4/mmm (No. 123)
Inequivalent atoms, fractional coordinates:
Cs 0.000 0.000 0.000 (multiplicity 1)
Ba 0.500 0.500 0.000 (multiplicity 1)
Hf 0.000 0.000 0.500 (multiplicity 1)
Pb 0.000 0.500 0.500 (multiplicity 2)

Summary:
* ΔE_f: 0.09 eV/atom
* E: -291.12 eV for the cell shown

***

Below is a crystal of CsBaHg3 relaxed with PBEsol, with properties calculated at the SCAN level.

Cell: 6.186 6.186 6.186 Å, 90.00 90.00 90.00°
Space group Pm-3m (No. 221)
Inequivalent atoms, fractional coordinates:
Cs 0.000 0.000 0.000 (multiplicity 1)
Ba 0.500 0.500 0.500 (multiplicity 1)
Hg 0.000 0.000 0.500 (multiplicity 3)

Summary:
* ΔE_f: 0.05 eV/atom
* E: -281.60 eV for the cell shown

***

Below is a crystal of CsBa2HgSe relaxed with PBEsol, with properties calculated at the SCAN level.

Cell: 6.185 6.185 7.328 Å, 90.00 90.00 90.00°
Space group P4/mmm (No. 123)
Inequivalent atoms, fractional coordinates:
Cs 0.000 0.000 0.000 (multiplicity 1)
Ba 0.000 0.500 0.500 (multiplicity 2)
Hg 0.500 0.500 0.000 (multiplicity 1)
Se 0.500 0.500 0.500 (multiplicity 1)

Summary:
* E: -208.43 eV for the cell shown